{
  "formula": "KIrAu",
  "functional": "PBE",
  "state": "relaxed",
  "m_tot_mub_per_fu": 0.0,
  "total_energy_ev_per_fu": -12.7,
  "lattice_angstrom": [[4.647, 0.000, 0.000], [0.000, 6.715, 0.000], [0.000, 0.000, 9.544]],
  "species": ["K", "K", "K", "K", "Ir", "Ir", "Ir", "Ir", "Au", "Au", "Au", "Au"],
  "fractional_positions": [[0.000, 0.000, 0.000], [0.000, 0.500, 0.260], [0.500, 0.000, 0.760], [0.500, 0.500, 0.500], [0.000, 0.000, 0.384], [0.000, 0.500, 0.803], [0.500, 0.000, 0.303], [0.500, 0.500, 0.884], [0.000, 0.227, 0.608], [0.000, 0.773, 0.608], [0.500, 0.273, 0.108], [0.500, 0.727, 0.108]]
}